First-principles (PBE-GGA) data for a relaxed Ba2SnSb2 crystal, as listed in Alexandria via LeMat-Bulk.

Properties
calculated total energy: -0.2920 Ry per atom
energy relative to the elements, uncorrected: -754 meV per atom
E above lowest polymorph: 43.3 meV/atom
volume: 194.0 Å³/f.u.

a = 4.760 Å, b = 7.077 Å, c = 12.539 Å
α = 80.30°, β = 79.06°, γ = 70.35°
Positions (direct):
Ba1 0.688 0.272 0.351
Ba2 0.909 0.263 0.919
Ba3 0.312 0.728 0.649
Ba4 0.091 0.737 0.081
Sn1 0.545 0.182 0.729
Sn2 0.455 0.818 0.271
Sb1 0.069 0.271 0.590
Sb2 0.674 0.791 0.861
Sb3 0.931 0.729 0.410
Sb4 0.326 0.209 0.139

First-principles (PBE-GGA) data for a relaxed Nd8Sm2Er crystal, as listed in Alexandria via LeMat-Bulk.

Properties
calculated total energy: -0.3369 Ry per atom
E above lowest polymorph: 38.0 meV/atom
volume: 385.7 Å³/f.u.

a = 6.798 Å, b = 10.356 Å, c = 10.356 Å
α = 38.71°, β = 59.81°, γ = 59.81°
Positions (direct):
Nd1 0.231 0.349 0.824
Nd2 0.769 0.176 0.651
Nd3 0.171 0.756 0.756
Nd4 0.829 0.244 0.244
Nd5 0.231 0.824 0.349
Nd6 0.769 0.651 0.176
Nd7 0.730 0.593 0.593
Nd8 0.270 0.407 0.407
Sm1 0.584 0.805 0.805
Sm2 0.416 0.195 0.195
Er1 0.000 0.000 0.000

Look up the volume of the second one.
385.7 Å³/f.u.

Copy entry 2 word for word.
First-principles (PBE-GGA) data for a relaxed Nd8Sm2Er crystal, as listed in Alexandria via LeMat-Bulk.

Properties
calculated total energy: -0.3369 Ry per atom
E above lowest polymorph: 38.0 meV/atom
volume: 385.7 Å³/f.u.

a = 6.798 Å, b = 10.356 Å, c = 10.356 Å
α = 38.71°, β = 59.81°, γ = 59.81°
Positions (direct):
Nd1 0.231 0.349 0.824
Nd2 0.769 0.176 0.651
Nd3 0.171 0.756 0.756
Nd4 0.829 0.244 0.244
Nd5 0.231 0.824 0.349
Nd6 0.769 0.651 0.176
Nd7 0.730 0.593 0.593
Nd8 0.270 0.407 0.407
Sm1 0.584 0.805 0.805
Sm2 0.416 0.195 0.195
Er1 0.000 0.000 0.000

What did the second record say?
First-principles (PBE-GGA) data for a relaxed Nd8Sm2Er crystal, as listed in Alexandria via LeMat-Bulk.

Properties
calculated total energy: -0.3369 Ry per atom
E above lowest polymorph: 38.0 meV/atom
volume: 385.7 Å³/f.u.

a = 6.798 Å, b = 10.356 Å, c = 10.356 Å
α = 38.71°, β = 59.81°, γ = 59.81°
Positions (direct):
Nd1 0.231 0.349 0.824
Nd2 0.769 0.176 0.651
Nd3 0.171 0.756 0.756
Nd4 0.829 0.244 0.244
Nd5 0.231 0.824 0.349
Nd6 0.769 0.651 0.176
Nd7 0.730 0.593 0.593
Nd8 0.270 0.407 0.407
Sm1 0.584 0.805 0.805
Sm2 0.416 0.195 0.195
Er1 0.000 0.000 0.000